Here is a relaxed structure of MgSbRh2 from Alexandria. Energies are from PBE.

a = 4.565 Å, b = 4.565 Å, c = 4.565 Å
α = 60.00°, β = 60.00°, γ = 60.00°
Element x y z (fractional)
1 Mg 0.000 0.000 0.000
2 Sb 0.750 0.750 0.750
3 Rh 0.250 0.250 0.250
4 Rh 0.500 0.500 0.500

Calculated values
calculated density = 8.7 Mg/m³
electronic total energy = -5.247 eV/atom
E_form (uncorrected) = -142 meV per atom


Here is a relaxed structure of RhCl2F from Alexandria. Energies are from PBE.

a = 6.436 Å, b = 6.436 Å, c = 6.436 Å
α = 95.92°, β = 95.92°, γ = 142.52°
Element x y z (fractional)
1 Rh 0.000 0.000 0.000
2 Rh 0.750 0.250 0.500
3 Cl 0.375 0.228 0.353
4 Cl 0.772 0.125 0.147
5 Cl 0.875 0.022 0.647
6 Cl 0.978 0.625 0.853
7 F 0.250 0.750 0.500
8 F 0.500 0.500 0.000

Calculated values
calculated density = 4.2 Mg/m³
electronic total energy = -3.806 eV/atom
energy relative to the lowest polymorph listed for this composition = 267.6 meV per atom
E_form (uncorrected) = -577 meV per atom


Here is a relaxed structure of Tm12Cd3In from Alexandria. Energies are from PBE.

a = 4.785 Å, b = 4.785 Å, c = 19.137 Å
α = 90.00°, β = 90.00°, γ = 90.00°
Element x y z (fractional)
1 Tm 0.000 0.000 0.000
2 Tm 0.000 0.000 0.250
3 Tm 0.000 0.000 0.500
4 Tm 0.000 0.000 0.750
5 Tm 0.000 0.500 0.125
6 Tm 0.000 0.500 0.375
7 Tm 0.000 0.500 0.625
8 Tm 0.000 0.500 0.875
9 Tm 0.500 0.000 0.125
10 Tm 0.500 0.000 0.375
11 Tm 0.500 0.000 0.625
12 Tm 0.500 0.000 0.875
13 Cd 0.500 0.500 0.000
14 Cd 0.500 0.500 0.250
15 Cd 0.500 0.500 0.750
16 In 0.500 0.500 0.500

Calculated values
calculated density = 9.4 Mg/m³
electronic total energy = -3.825 eV/atom


Here is a relaxed structure of Na2Tl3Hg7 from Alexandria. Energies are from PBE.

a = 12.454 Å, b = 12.454 Å, c = 5.419 Å
α = 90.00°, β = 90.00°, γ = 155.17°
Element x y z (fractional)
1 Na 0.147 0.853 0.000
2 Na 0.853 0.147 0.000
3 Tl 0.348 0.652 0.500
4 Tl 0.500 0.500 0.500
5 Tl 0.652 0.348 0.500
6 Hg 0.000 0.000 0.000
7 Hg 0.077 0.923 0.500
8 Hg 0.277 0.723 0.000
9 Hg 0.424 0.576 0.000
10 Hg 0.576 0.424 0.000
11 Hg 0.723 0.277 0.000
12 Hg 0.923 0.077 0.500

Calculated values
calculated density = 9.7 Mg/m³
electronic total energy = -1.072 eV/atom
energy relative to the lowest polymorph listed for this composition = 0.0 meV per atom


Here is a relaxed structure of AgPd4Au3 from Alexandria. Energies are from PBE.

a = 2.866 Å, b = 5.712 Å, c = 8.593 Å
α = 71.09°, β = 89.88°, γ = 89.85°
Element x y z (fractional)
1 Ag 0.000 0.000 0.000
2 Pd 0.000 0.256 0.502
3 Pd 0.000 0.744 0.498
4 Pd 0.499 0.379 0.747
5 Pd 0.501 0.621 0.253
6 Au 0.000 0.500 0.000
7 Au 0.500 0.119 0.259
8 Au 0.500 0.881 0.741

Calculated values
calculated density = 14.0 Mg/m³
electronic total energy = -4.240 eV/atom
energy relative to the lowest polymorph listed for this composition = 0.0 meV per atom


Here is a relaxed structure of SrSc2Ta from Alexandria. Energies are from PBE.

a = 5.728 Å, b = 5.728 Å, c = 3.191 Å
α = 90.00°, β = 90.00°, γ = 108.17°
Element x y z (fractional)
1 Sr 0.000 0.000 0.000
2 Sc 0.000 0.500 0.500
3 Sc 0.500 0.000 0.500
4 Ta 0.500 0.500 0.000

Calculated values
calculated density = 6.0 Mg/m³
electronic total energy = -5.934 eV/atom
energy relative to the lowest polymorph listed for this composition = 297.8 meV per atom


Here is a relaxed structure of Sr2Ca2Sb from Alexandria. Energies are from PBE.

a = 8.329 Å, b = 8.329 Å, c = 6.158 Å
α = 90.00°, β = 90.00°, γ = 90.00°
Element x y z (fractional)
1 Sr 0.166 0.334 0.000
2 Sr 0.334 0.834 0.000
3 Sr 0.666 0.166 0.000
4 Sr 0.834 0.666 0.000
5 Ca 0.155 0.655 0.500
6 Ca 0.345 0.155 0.500
7 Ca 0.655 0.845 0.500
8 Ca 0.845 0.345 0.500
9 Sb 0.000 0.000 0.500
10 Sb 0.500 0.500 0.500

Calculated values
calculated density = 2.9 Mg/m³
electronic total energy = -2.579 eV/atom
energy relative to the lowest polymorph listed for this composition = 0.0 meV per atom
E_form (uncorrected) = -281 meV per atom


Here is a relaxed structure of SrCuOs3 from Alexandria. Energies are from PBE.

a = 4.872 Å, b = 4.872 Å, c = 4.872 Å
α = 90.00°, β = 90.00°, γ = 90.00°
Element x y z (fractional)
1 Sr 0.000 0.000 0.000
2 Cu 0.500 0.500 0.500
3 Os 0.000 0.000 0.500
4 Os 0.000 0.500 0.000
5 Os 0.500 0.000 0.000

Calculated values
calculated density = 10.4 Mg/m³
electronic total energy = -4.116 eV/atom
energy relative to the lowest polymorph listed for this composition = 2072.7 meV per atom